# GGA+U Li2VP4O12, optimized geometry
data_Li2VP4O12
_symmetry_space_group_name_H-M 'P n m a'
_symmetry_Int_Tables_number 62
_cell_length_a 9.5590
_cell_length_b 9.3312
_cell_length_c 10.4059
_cell_angle_alpha 90.00
_cell_angle_beta 90.00
_cell_angle_gamma 90.00
loop_
_symmetry_equiv_pos_as_xyz
'x,y,z'
'-x,-y,-z'
'-x+1/2,-y,z+1/2'
'x+1/2,y,-z+1/2'
'x+1/2,-y+1/2,-z+1/2'
'-x+1/2,y+1/2,z+1/2'
'-x,y+1/2,-z'
'x,-y+1/2,z'
loop_
_atom_site_label
_atom_site_fract_x
_atom_site_fract_y
_atom_site_fract_z
Li1 0.0066 0.0979 0.1871
V1 0.0108 0.2500 0.7972
P1 0.2007 0.7500 0.6055
P2 0.2126 0.5389 0.3878
P3 0.2296 0.2500 0.5163
O1 0.1006 0.7500 0.7163
O2 0.1139 0.7500 0.0293
O3 0.1154 0.5729 0.2779
O4 0.1324 0.0632 0.8709
O5 0.1383 0.2500 0.6312
O6 0.1449 0.2500 0.1299
O7 0.1572 0.6147 0.5171
O8 0.1810 0.1241 0.4196
# DFT total energy in eV/atom: -7.07